A plane-wave DFT calculation with PBE+U was carried out for a relaxed Li3Co3NiO8 crystal.

Cell: 5.9178 5.8201 5.8201 Å, 60.00 60.54 90.00°
Closest atoms and distances in Å follow each position.
Fractional positions:
O1 0.7849 0.7731 0.9882  1 Ni 1.88, 2 Co 2.03
O2 0.2271 0.7424 0.5153  3 Co 2.01, 3 Li 2.14
O3 0.7849 0.2388 0.9882  1 Ni 1.88, 2 Co 2.03
O4 0.7849 0.7731 0.4539  1 Ni 1.88, 2 Co 2.03
O5 0.2151 0.7612 0.0118  1 Ni 1.88, 2 Co 2.03
O6 0.7729 0.2576 0.4847  3 Co 2.01, 3 Li 2.14
O7 0.2151 0.2269 0.0118  1 Ni 1.88, 2 Co 2.03
O8 0.2151 0.2269 0.5461  1 Ni 1.88, 2 Co 2.03
Co1 0.0000 0.0000 0.5000  6 O 2.01-2.03
Co2 0.0000 0.5000 0.5000  6 O 2.01-2.03
Co3 0.0000 0.5000 0.0000  6 O 2.01-2.03
Ni1 0.0000 0.0000 0.0000  6 O 1.88
Li1 0.5000 0.0000 0.5000  6 O 2.14
Li2 0.5000 0.5000 0.5000  6 O 2.14
Li3 0.5000 0.0000 0.0000  6 O 2.14

relative energy among the computed polymorphs = 0.0769 eV per atom
SG = R-3m
DFT total energy = -81.0 eV/f.u.